! LaNbBi2Te (meta-GGA SCAN, single point on PBEsol structure); values from VASP
&SYSTEM
  ibrav = 0, nat = 5, ntyp = 4
/
ATOMIC_SPECIES
Te 127.60 Te.upf
Bi 208.98 Bi.upf
Nb 92.91 Nb.upf
La 138.91 La.upf
ATOMIC_POSITIONS crystal
Te 0.500 0.000 0.000
Bi 0.000 0.500 0.000
Bi 0.000 0.000 0.500
Nb 0.000 0.000 0.000
La 0.500 0.500 0.500
CELL_PARAMETERS angstrom
5.317 0.000 0.000
0.000 5.472 0.000
0.000 0.000 5.472
! Formation energy (no corrections) in eV per formula unit: -0.70
! Theoretical density in Mg/m³: 8.11
! SG: P4/mmm, No. 123
! Total DFT energy (no corrections) in eV per atom: -54.27